1.
This record from the Alexandria database describes crystalline MgInTc2C at its relaxed geometry. The functional is GGA-PBE. Values from VASP.

Computed properties:
For the calculated formation energy, the calculation gives 0.150 eV/atom. As for the space group: P4/mmm.

```
&SYSTEM
  ibrav = 0, nat = 5, ntyp = 4
/
ATOMIC_SPECIES
Mg 24.30 Mg.upf
In 114.82 In.upf
Tc 98.00 Tc.upf
C 12.01 C.upf
CELL_PARAMETERS angstrom
4.1336 0.0000 0.0000
0.0000 4.1336 0.0000
0.0000 0.0000 4.3396
ATOMIC_POSITIONS crystal
Mg 0.0000 0.0000 0.0000
In 0.5000 0.5000 0.0000
Tc 0.0000 0.5000 0.5000
Tc 0.5000 0.0000 0.5000
C 0.0000 0.0000 0.5000
```


2.
This record from the Alexandria database describes crystalline YMg2InC at its relaxed geometry. The functional is GGA-PBE. Values from VASP.

Computed properties:
For the calculated formation energy, the calculation gives -0.100 eV/atom. As for the space group: P4/mmm.

```
&SYSTEM
  ibrav = 0, nat = 5, ntyp = 4
/
ATOMIC_SPECIES
Y 88.91 Y.upf
Mg 24.30 Mg.upf
In 114.82 In.upf
C 12.01 C.upf
CELL_PARAMETERS angstrom
4.5445 0.0000 0.0000
0.0000 4.5445 0.0000
0.0000 0.0000 4.8779
ATOMIC_POSITIONS crystal
Y 0.0000 0.0000 0.0000
Mg 0.0000 0.5000 0.5000
Mg 0.5000 0.0000 0.5000
In 0.5000 0.5000 0.0000
C 0.0000 0.0000 0.5000
```


3.
This record from the Alexandria database describes crystalline MgZrInC2 at its relaxed geometry. The functional is GGA-PBE. Values from VASP.

Computed properties:
For the calculated formation energy, the calculation gives 1.490 eV/atom. As for the space group: P4/mmm.

```
&SYSTEM
  ibrav = 0, nat = 5, ntyp = 4
/
ATOMIC_SPECIES
Mg 24.30 Mg.upf
Zr 91.22 Zr.upf
In 114.82 In.upf
C 12.01 C.upf
CELL_PARAMETERS angstrom
4.3457 0.0000 0.0000
0.0000 4.3457 0.0000
0.0000 0.0000 5.7859
ATOMIC_POSITIONS crystal
Mg 0.0000 0.0000 0.0000
Zr 0.0000 0.0000 0.5000
In 0.5000 0.5000 0.0000
C 0.0000 0.5000 0.5000
C 0.5000 0.0000 0.5000
```


4.
This record from the Alexandria database describes crystalline MnIn2C at its relaxed geometry. The functional is GGA-PBE. Values from VASP.

Computed properties:
For the calculated formation energy, the calculation gives 0.665 eV/atom. As for the space group: I-42d.

```
&SYSTEM
  ibrav = 0, nat = 16, ntyp = 3
/
ATOMIC_SPECIES
Mn 54.94 Mn.upf
In 114.82 In.upf
C 12.01 C.upf
CELL_PARAMETERS angstrom
8.9487 0.0000 0.0000
0.0000 8.9487 0.0000
0.0000 0.0000 3.8433
ATOMIC_POSITIONS crystal
Mn 0.0000 0.0000 0.0000
Mn 0.0000 0.5000 0.2500
Mn 0.5000 0.0000 0.7500
Mn 0.5000 0.5000 0.5000
In 0.1151 0.2500 0.6250
In 0.2500 0.6151 0.8750
In 0.2500 0.8849 0.3750
In 0.3849 0.2500 0.1250
In 0.6151 0.7500 0.1250
In 0.7500 0.1151 0.3750
In 0.7500 0.3849 0.8750
In 0.8849 0.7500 0.6250
C 0.0000 0.0000 0.5000
C 0.0000 0.5000 0.7500
C 0.5000 0.0000 0.2500
C 0.5000 0.5000 0.0000
```


5.
This record from the Alexandria database describes crystalline Mn2InC at its relaxed geometry. The functional is GGA-PBE. Values from VASP.

Computed properties:
For the calculated formation energy, the calculation gives 0.559 eV/atom. As for the space group: I-42d.

```
&SYSTEM
  ibrav = 0, nat = 16, ntyp = 3
/
ATOMIC_SPECIES
Mn 54.94 Mn.upf
In 114.82 In.upf
C 12.01 C.upf
CELL_PARAMETERS angstrom
5.2691 0.0000 0.0000
0.0000 5.2691 0.0000
0.0000 0.0000 9.7081
ATOMIC_POSITIONS crystal
Mn 0.0916 0.2500 0.1250
Mn 0.2500 0.5916 0.3750
Mn 0.2500 0.9084 0.8750
Mn 0.4084 0.2500 0.6250
Mn 0.5916 0.7500 0.6250
Mn 0.7500 0.0916 0.8750
Mn 0.7500 0.4084 0.3750
Mn 0.9084 0.7500 0.1250
In 0.0000 0.0000 0.5000
In 0.0000 0.5000 0.7500
In 0.5000 0.0000 0.2500
In 0.5000 0.5000 0.0000
C 0.0000 0.0000 0.0000
C 0.0000 0.5000 0.2500
C 0.5000 0.0000 0.7500
C 0.5000 0.5000 0.5000
```


6.
This record from the Alexandria database describes crystalline Mn2InC at its relaxed geometry. The functional is GGA-PBE. Values from VASP.

Computed properties:
For the calculated formation energy, the calculation gives 1.362 eV/atom. As for the space group: Fm-3m.

```
&SYSTEM
  ibrav = 0, nat = 16, ntyp = 3
/
ATOMIC_SPECIES
Mn 54.94 Mn.upf
In 114.82 In.upf
C 12.01 C.upf
CELL_PARAMETERS angstrom
6.0813 0.0000 0.0000
0.0000 6.0813 0.0000
0.0000 0.0000 6.0813
ATOMIC_POSITIONS crystal
Mn 0.2500 0.2500 0.2500
Mn 0.2500 0.2500 0.7500
Mn 0.2500 0.7500 0.2500
Mn 0.2500 0.7500 0.7500
Mn 0.7500 0.2500 0.2500
Mn 0.7500 0.2500 0.7500
Mn 0.7500 0.7500 0.2500
Mn 0.7500 0.7500 0.7500
In 0.0000 0.0000 0.0000
In 0.0000 0.5000 0.5000
In 0.5000 0.0000 0.5000
In 0.5000 0.5000 0.0000
C 0.0000 0.0000 0.5000
C 0.0000 0.5000 0.0000
C 0.5000 0.0000 0.0000
C 0.5000 0.5000 0.5000
```


7.
This record from the Alexandria database describes crystalline MnIn3C at its relaxed geometry. The functional is GGA-PBE. Values from VASP.

Computed properties:
For the calculated formation energy, the calculation gives 1.525 eV/atom. The excess energy over the best structure of this formula in the dataset is 121 meV per atom. As for the space group: Pm-3m.

```
&SYSTEM
  ibrav = 0, nat = 5, ntyp = 3
/
ATOMIC_SPECIES
Mn 54.94 Mn.upf
In 114.82 In.upf
C 12.01 C.upf
CELL_PARAMETERS angstrom
5.0666 0.0000 0.0000
0.0000 5.0666 0.0000
0.0000 0.0000 5.0666
ATOMIC_POSITIONS crystal
Mn 0.0000 0.0000 0.0000
In 0.0000 0.0000 0.5000
In 0.0000 0.5000 0.0000
In 0.5000 0.0000 0.0000
C 0.5000 0.5000 0.5000
```


8.
This record from the Alexandria database describes crystalline MnIn3C at its relaxed geometry. The functional is GGA-PBE. Values from VASP.

Computed properties:
For the calculated formation energy, the calculation gives 1.404 eV/atom. The excess energy over the best structure of this formula in the dataset is 0 meV per atom. As for the space group: Pm-3m.

```
&SYSTEM
  ibrav = 0, nat = 5, ntyp = 3
/
ATOMIC_SPECIES
Mn 54.94 Mn.upf
In 114.82 In.upf
C 12.01 C.upf
CELL_PARAMETERS angstrom
4.6303 0.0000 0.0000
0.0000 4.6303 0.0000
0.0000 0.0000 4.6303
ATOMIC_POSITIONS crystal
Mn 0.0000 0.0000 0.0000
In 0.0000 0.5000 0.5000
In 0.5000 0.0000 0.5000
In 0.5000 0.5000 0.0000
C 0.5000 0.5000 0.5000
```


9.
This record from the Alexandria database describes crystalline MnInNi2C at its relaxed geometry. The functional is GGA-PBE. Values from VASP.

Computed properties:
For the calculated formation energy, the calculation gives -0.008 eV/atom. As for the space group: P4/mmm.

```
&SYSTEM
  ibrav = 0, nat = 5, ntyp = 4
/
ATOMIC_SPECIES
Mn 54.94 Mn.upf
In 114.82 In.upf
Ni 58.69 Ni.upf
C 12.01 C.upf
CELL_PARAMETERS angstrom
3.9068 0.0000 0.0000
0.0000 3.9068 0.0000
0.0000 0.0000 3.8429
ATOMIC_POSITIONS crystal
Mn 0.0000 0.0000 0.0000
In 0.5000 0.5000 0.0000
Ni 0.0000 0.5000 0.5000
Ni 0.5000 0.0000 0.5000
C 0.0000 0.0000 0.5000
```


10.
This record from the Alexandria database describes crystalline Mn2InOsC at its relaxed geometry. The functional is GGA-PBE. Values from VASP.

Computed properties:
For the calculated formation energy, the calculation gives 2.081 eV/atom. The excess energy over the best structure of this formula in the dataset is 1939 meV per atom. As for the space group: P4/mmm.

```
&SYSTEM
  ibrav = 0, nat = 5, ntyp = 4
/
ATOMIC_SPECIES
Mn 54.94 Mn.upf
In 114.82 In.upf
Os 190.23 Os.upf
C 12.01 C.upf
CELL_PARAMETERS angstrom
4.7372 0.0000 0.0000
0.0000 4.7372 0.0000
0.0000 0.0000 5.1516
ATOMIC_POSITIONS crystal
Mn 0.0000 0.5000 0.0000
Mn 0.5000 0.0000 0.0000
In 0.0000 0.0000 0.5000
Os 0.0000 0.0000 0.0000
C 0.5000 0.5000 0.5000
```


11.
This record from the Alexandria database describes crystalline Mn2InOsC at its relaxed geometry. The functional is GGA-PBE. Values from VASP.

Computed properties:
For the calculated formation energy, the calculation gives 0.142 eV/atom. The excess energy over the best structure of this formula in the dataset is 0 meV per atom. As for the space group: P4/mmm.

```
&SYSTEM
  ibrav = 0, nat = 5, ntyp = 4
/
ATOMIC_SPECIES
Mn 54.94 Mn.upf
In 114.82 In.upf
Os 190.23 Os.upf
C 12.01 C.upf
CELL_PARAMETERS angstrom
4.0352 0.0000 0.0000
0.0000 4.0352 0.0000
0.0000 0.0000 4.0634
ATOMIC_POSITIONS crystal
Mn 0.0000 0.5000 0.0000
Mn 0.5000 0.0000 0.0000
In 0.0000 0.0000 0.5000
Os 0.5000 0.5000 0.5000
C 0.5000 0.5000 0.0000
```


12.
This record from the Alexandria database describes crystalline Mn2InRuC at its relaxed geometry. The functional is GGA-PBE. Values from VASP.

Computed properties:
For the calculated formation energy, the calculation gives 0.024 eV/atom. As for the space group: P4/mmm.

```
&SYSTEM
  ibrav = 0, nat = 5, ntyp = 4
/
ATOMIC_SPECIES
Mn 54.94 Mn.upf
In 114.82 In.upf
Ru 101.07 Ru.upf
C 12.01 C.upf
CELL_PARAMETERS angstrom
3.9854 0.0000 0.0000
0.0000 3.9854 0.0000
0.0000 0.0000 4.1171
ATOMIC_POSITIONS crystal
Mn 0.0000 0.5000 0.0000
Mn 0.5000 0.0000 0.0000
In 0.0000 0.0000 0.5000
Ru 0.5000 0.5000 0.5000
C 0.5000 0.5000 0.0000
```


13.
This record from the Alexandria database describes crystalline ScMn2InC at its relaxed geometry. The functional is GGA-PBE. Values from VASP.

Computed properties:
For the calculated formation energy, the calculation gives -0.088 eV/atom. As for the space group: P4/mmm.

```
&SYSTEM
  ibrav = 0, nat = 5, ntyp = 4
/
ATOMIC_SPECIES
Sc 44.96 Sc.upf
Mn 54.94 Mn.upf
In 114.82 In.upf
C 12.01 C.upf
CELL_PARAMETERS angstrom
3.9741 0.0000 0.0000
0.0000 3.9741 0.0000
0.0000 0.0000 4.4532
ATOMIC_POSITIONS crystal
Sc 0.0000 0.0000 0.0000
Mn 0.0000 0.5000 0.5000
Mn 0.5000 0.0000 0.5000
In 0.5000 0.5000 0.0000
C 0.0000 0.0000 0.5000
```


14.
This record from the Alexandria database describes crystalline MnInTc2C at its relaxed geometry. The functional is GGA-PBE. Values from VASP.

Computed properties:
For the calculated formation energy, the calculation gives 0.083 eV/atom. As for the space group: P4/mmm.

```
&SYSTEM
  ibrav = 0, nat = 5, ntyp = 4
/
ATOMIC_SPECIES
Mn 54.94 Mn.upf
In 114.82 In.upf
Tc 98.00 Tc.upf
C 12.01 C.upf
CELL_PARAMETERS angstrom
4.1612 0.0000 0.0000
0.0000 4.1612 0.0000
0.0000 0.0000 3.9564
ATOMIC_POSITIONS crystal
Mn 0.0000 0.0000 0.0000
In 0.5000 0.5000 0.0000
Tc 0.0000 0.5000 0.5000
Tc 0.5000 0.0000 0.5000
C 0.0000 0.0000 0.5000
```


15.
This record from the Alexandria database describes crystalline TiMnIn2C at its relaxed geometry. The functional is GGA-PBE. Values from VASP.

Computed properties:
For the calculated formation energy, the calculation gives 1.093 eV/atom. The excess energy over the best structure of this formula in the dataset is 272 meV per atom. As for the space group: P4/mmm.

```
&SYSTEM
  ibrav = 0, nat = 5, ntyp = 4
/
ATOMIC_SPECIES
Ti 47.87 Ti.upf
Mn 54.94 Mn.upf
In 114.82 In.upf
C 12.01 C.upf
CELL_PARAMETERS angstrom
5.4169 0.0000 0.0000
0.0000 5.4169 0.0000
0.0000 0.0000 3.9280
ATOMIC_POSITIONS crystal
Ti 0.0000 0.0000 0.0000
Mn 0.5000 0.5000 0.5000
In 0.0000 0.5000 0.0000
In 0.5000 0.0000 0.0000
C 0.0000 0.0000 0.5000
```


16.
This record from the Alexandria database describes crystalline TiMnIn2C at its relaxed geometry. The functional is GGA-PBE. Values from VASP.

Computed properties:
For the calculated formation energy, the calculation gives 0.821 eV/atom. The excess energy over the best structure of this formula in the dataset is 0 meV per atom. As for the space group: P4/mmm.

```
&SYSTEM
  ibrav = 0, nat = 5, ntyp = 4
/
ATOMIC_SPECIES
Ti 47.87 Ti.upf
Mn 54.94 Mn.upf
In 114.82 In.upf
C 12.01 C.upf
CELL_PARAMETERS angstrom
4.5500 0.0000 0.0000
0.0000 4.5500 0.0000
0.0000 0.0000 4.0631
ATOMIC_POSITIONS crystal
Ti 0.0000 0.0000 0.0000
Mn 0.5000 0.5000 0.0000
In 0.0000 0.5000 0.5000
In 0.5000 0.0000 0.5000
C 0.0000 0.0000 0.5000
```


17.
This record from the Alexandria database describes crystalline TiMn2InC at its relaxed geometry. The functional is GGA-PBE. Values from VASP.

Computed properties:
For the calculated formation energy, the calculation gives -0.054 eV/atom. As for the space group: P4/mmm.

```
&SYSTEM
  ibrav = 0, nat = 5, ntyp = 4
/
ATOMIC_SPECIES
Ti 47.87 Ti.upf
Mn 54.94 Mn.upf
In 114.82 In.upf
C 12.01 C.upf
CELL_PARAMETERS angstrom
3.9178 0.0000 0.0000
0.0000 3.9178 0.0000
0.0000 0.0000 4.1728
ATOMIC_POSITIONS crystal
Ti 0.0000 0.0000 0.0000
Mn 0.0000 0.5000 0.5000
Mn 0.5000 0.0000 0.5000
In 0.5000 0.5000 0.0000
C 0.0000 0.0000 0.5000
```


18.
This record from the Alexandria database describes crystalline Mn2InWC at its relaxed geometry. The functional is GGA-PBE. Values from VASP.

Computed properties:
For the calculated formation energy, the calculation gives 1.665 eV/atom. As for the space group: P4/mmm.

```
&SYSTEM
  ibrav = 0, nat = 5, ntyp = 4
/
ATOMIC_SPECIES
Mn 54.94 Mn.upf
In 114.82 In.upf
W 183.84 W.upf
C 12.01 C.upf
CELL_PARAMETERS angstrom
4.6266 0.0000 0.0000
0.0000 4.6266 0.0000
0.0000 0.0000 4.0525
ATOMIC_POSITIONS crystal
Mn 0.0000 0.5000 0.0000
Mn 0.5000 0.0000 0.0000
In 0.0000 0.0000 0.5000
W 0.5000 0.5000 0.0000
C 0.5000 0.5000 0.5000
```


19.
This record from the Alexandria database describes crystalline Y2MnInC at its relaxed geometry. The functional is GGA-PBE. Values from VASP.

Computed properties:
For the calculated formation energy, the calculation gives -0.330 eV/atom. The excess energy over the best structure of this formula in the dataset is 0 meV per atom. As for the space group: P4/mmm.

```
&SYSTEM
  ibrav = 0, nat = 5, ntyp = 4
/
ATOMIC_SPECIES
Y 88.91 Y.upf
Mn 54.94 Mn.upf
In 114.82 In.upf
C 12.01 C.upf
CELL_PARAMETERS angstrom
5.0446 0.0000 0.0000
0.0000 5.0446 0.0000
0.0000 0.0000 3.8103
ATOMIC_POSITIONS crystal
Y 0.0000 0.5000 0.0000
Y 0.5000 0.0000 0.0000
Mn 0.0000 0.0000 0.5000
In 0.5000 0.5000 0.5000
C 0.0000 0.0000 0.0000
```


20.
This record from the Alexandria database describes crystalline Y2MnInC at its relaxed geometry. The functional is GGA-PBE. Values from VASP.

Computed properties:
For the calculated formation energy, the calculation gives 0.180 eV/atom. The excess energy over the best structure of this formula in the dataset is 510 meV per atom. As for the space group: P4/mmm.

```
&SYSTEM
  ibrav = 0, nat = 5, ntyp = 4
/
ATOMIC_SPECIES
Y 88.91 Y.upf
Mn 54.94 Mn.upf
In 114.82 In.upf
C 12.01 C.upf
CELL_PARAMETERS angstrom
4.8882 0.0000 0.0000
0.0000 4.8882 0.0000
0.0000 0.0000 4.5702
ATOMIC_POSITIONS crystal
Y 0.0000 0.5000 0.0000
Y 0.5000 0.0000 0.0000
Mn 0.0000 0.0000 0.5000
In 0.5000 0.5000 0.5000
C 0.5000 0.5000 0.0000
```


no.,raw total energy (eV per atom),calculated volume (Å³ per cell),magnetization (μB/atom)
1,-6.71,74.15,0.000
2,-4.42,100.74,0.000
3,-4.78,109.26,0.000
4,-5.30,307.77,0.745
5,-7.02,269.52,1.266
6,-6.21,224.91,1.570
7,-3.80,130.06,0.811
8,-3.92,99.27,0.092
9,-6.55,58.65,0.199
10,-6.23,115.61,1.233
11,-8.16,66.16,1.026
12,-7.89,65.39,1.002
13,-7.41,70.33,0.604
14,-8.29,68.51,0.459
15,-5.26,115.26,0.861
16,-5.53,84.11,0.030
17,-7.69,64.05,0.005
18,-6.99,86.74,0.153
19,-7.14,96.97,0.087
20,-6.63,109.20,0.796